Record 1
ZnCuPb | PBE-GGA | optimized geometry

As for the space group: Cm (8). For the total magnetic moment, the calculation gives 0.0 Bohr magnetons per cell. The density of states at the Fermi level is 0.3907 states/eV per atom. The calculation puts the formation energy at 184 meV per atom.

```
ZnCuPb
1.0
11.384 0.000 0.000
0.000 3.263 0.000
-0.802 0.000 3.205
Zn Cu Pb
2 2 2
direct
0.000 0.000 0.000 Zn
0.500 0.500 0.000 Zn
0.094 0.500 0.583 Cu
0.594 0.000 0.583 Cu
0.287 0.000 0.282 Pb
0.787 0.500 0.282 Pb
```

***

Record 2
TmInRh4 | PBE-GGA | optimized geometry

As for the space group: C2/m (12). For the total magnetic moment, the calculation gives 0.0 Bohr magnetons per cell. The density of states at the Fermi level is 0.9073 states/eV per atom. The calculation puts the formation energy at -223 meV per atom.

```
TmInRh4
1.0
5.345 0.000 0.000
0.000 8.088 0.000
-2.165 0.000 4.987
Tm In Rh
2 2 8
direct
0.000 0.000 0.000 Tm
0.500 0.500 0.000 Tm
0.000 0.500 0.500 In
0.500 0.000 0.500 In
0.238 0.287 0.247 Rh
0.238 0.713 0.247 Rh
0.262 0.213 0.753 Rh
0.262 0.787 0.753 Rh
0.738 0.213 0.247 Rh
0.738 0.787 0.247 Rh
0.762 0.287 0.753 Rh
0.762 0.713 0.753 Rh
```

***

Record 3
Er3Tm4Tl | PBE-GGA | optimized geometry

As for the space group: P4/mmm (123). For the total magnetic moment, the calculation gives 0.0 Bohr magnetons per cell. The density of states at the Fermi level is 1.2389 states/eV per atom. The calculation puts the formation energy at -68 meV per atom.

```
Er3Tm4Tl
1.0
3.520 0.000 0.000
0.000 3.520 0.000
0.000 0.000 19.030
Er Tm Tl
3 4 1
direct
0.000 0.000 0.000 Er
0.000 0.000 0.260 Er
0.000 0.000 0.740 Er
0.500 0.500 0.129 Tm
0.500 0.500 0.388 Tm
0.500 0.500 0.612 Tm
0.500 0.500 0.871 Tm
0.000 0.000 0.500 Tl
```

***

Record 4
KMg2Cr | PBE-GGA | optimized geometry

As for the space group: Immm (71). For the total magnetic moment, the calculation gives 9.2 Bohr magnetons per cell. The density of states at the Fermi level is 0.4747 states/eV per atom. The calculation puts the formation energy at 589 meV per atom.

```
KMg2Cr
1.0
3.241 0.000 0.000
0.000 5.921 0.000
0.000 0.000 11.872
K Mg Cr
2 4 2
direct
0.000 0.000 0.000 K
0.500 0.500 0.500 K
0.000 0.500 0.208 Mg
0.000 0.500 0.792 Mg
0.500 0.000 0.292 Mg
0.500 0.000 0.708 Mg
0.000 0.000 0.500 Cr
0.500 0.500 0.000 Cr
```

***

Record 5
LiCdAsPt | PBE-GGA | optimized geometry

As for the space group: F-43m (216). For the total magnetic moment, the calculation gives 0.0 Bohr magnetons per cell. The density of states at the Fermi level is 0.2162 states/eV per atom. The calculation puts the formation energy at -340 meV per atom.

```
LiCdAsPt
1.0
6.463 0.000 0.000
0.000 6.463 0.000
0.000 0.000 6.463
Li Cd As Pt
4 4 4 4
direct
0.000 0.000 0.000 Li
0.000 0.500 0.500 Li
0.500 0.000 0.500 Li
0.500 0.500 0.000 Li
0.250 0.250 0.250 Cd
0.250 0.750 0.750 Cd
0.750 0.250 0.750 Cd
0.750 0.750 0.250 Cd
0.250 0.250 0.750 As
0.250 0.750 0.250 As
0.750 0.250 0.250 As
0.750 0.750 0.750 As
0.000 0.000 0.500 Pt
0.000 0.500 0.000 Pt
0.500 0.000 0.000 Pt
0.500 0.500 0.500 Pt
```

***

Record 6
Al5Cr3 | PBE-GGA | optimized geometry

As for the space group: P6_3/mcm (193). For the total magnetic moment, the calculation gives 13.6 Bohr magnetons per cell. The density of states at the Fermi level is 0.6606 states/eV per atom. The calculation puts the formation energy at 96 meV per atom.

```
Al5Cr3
1.0
7.354 0.000 0.000
-3.677 6.369 0.000
0.000 0.000 5.096
Al Cr
10 6
direct
0.000 0.232 0.250 Al
0.000 0.768 0.750 Al
0.232 0.000 0.250 Al
0.232 0.232 0.750 Al
0.333 0.667 0.000 Al
0.333 0.667 0.500 Al
0.667 0.333 0.000 Al
0.667 0.333 0.500 Al
0.768 0.000 0.750 Al
0.768 0.768 0.250 Al
0.000 0.402 0.750 Cr
0.000 0.598 0.250 Cr
0.402 0.000 0.750 Cr
0.402 0.402 0.250 Cr
0.598 0.000 0.250 Cr
0.598 0.598 0.750 Cr
```

***

V values, unit Å³/cell, following the record order: 119.06; 215.58; 235.84; 227.84; 269.95; 238.71.